# 1
This record from Alexandria via LeMat-Bulk describes an optimized crystal structure of ErCdIn2. The functional is PBE.

a b c (Å): 4.5987 4.5987 4.5293
angles (deg): 90.00 90.00 90.00
Last column: nearest neighbours and their distance in Å.
Space group P4/mmm (No. 123)
Asymmetric unit:
Er 0.0000 0.0000 0.0000 (multiplicity 1)  8 In 3.23, 4 Cd 3.25
Cd 0.5000 0.5000 0.0000 (multiplicity 1)  8 In 3.23, 4 Er 3.25
In 0.0000 0.5000 0.5000 (multiplicity 2)  4 Cd 3.23, 4 Er 3.23, 4 In 3.25

Output
- crystal system = tetragonal
- formation energy from the elements (eV/atom) = -0.36
- offset from the most stable computed form (eV per formula unit) = 0.00



# 2
This record from Alexandria via LeMat-Bulk describes an optimized crystal structure of Er5CdIn3. The functional is PBE.

a b c (Å): 9.1995 9.1995 6.6142
angles (deg): 90.00 90.00 120.00
Last column: nearest neighbours and their distance in Å.
Space group P6_3/mcm (No. 193)
Asymmetric unit:
Er 0.0000 0.2915 0.2500 (multiplicity 6)  5 In 3.10-3.39, 2 Cd 3.15
Er 0.3333 0.6667 0.0000 (multiplicity 4)  8 Er 3.31-3.67, 6 In 3.35
Cd 0.0000 0.0000 0.0000 (multiplicity 2)  6 Er 3.15, 2 Cd 3.31
In 0.0000 0.3711 0.7500 (multiplicity 6)  9 Er 3.10-3.39

Output
- crystal system = hexagonal
- formation energy from the elements (eV/atom) = -0.40



# 3
This record from Alexandria via LeMat-Bulk describes an optimized crystal structure of Er2CdIn2. The functional is PBE.

a b c (Å): 7.4271 7.4271 4.7219
angles (deg): 90.00 90.00 90.00
Last column: nearest neighbours and their distance in Å.
Space group P4/mbm (No. 127)
Asymmetric unit:
Er 0.1665 0.3335 0.0000 (multiplicity 4)  6 In 3.13-3.27, 1 Er 3.50
Cd 0.0000 0.0000 0.5000 (multiplicity 2)  4 In 2.88
In 0.1375 0.6375 0.5000 (multiplicity 4)  2 Cd 2.88, 1 In 2.89, 2 Er 3.13

Output
- crystal system = tetragonal
- formation energy from the elements (eV/atom) = -0.36
- offset from the most stable computed form (eV per formula unit) = 0.00



# 4
This record from Alexandria via LeMat-Bulk describes an optimized crystal structure of ErCdIn2. The functional is PBE.

a b c (Å): 3.6152 3.6152 7.6963
angles (deg): 90.00 90.00 90.00
Last column: nearest neighbours and their distance in Å.
Space group P4/mmm (No. 123)
Asymmetric unit:
Er 0.0000 0.0000 0.0000 (multiplicity 1)  8 In 3.26, 4 Er 3.62
Cd 0.0000 0.0000 0.5000 (multiplicity 1)  8 In 3.14
In 0.5000 0.5000 0.2633 (multiplicity 2)  4 Cd 3.14, 4 Er 3.26

Output
- crystal system = tetragonal
- formation energy from the elements (eV/atom) = -0.18
- offset from the most stable computed form (eV per formula unit) = 0.73



# 5
This record from Alexandria via LeMat-Bulk describes an optimized crystal structure of Er2Cd3In3. The functional is PBE.

a b c (Å): 4.5103 4.5627 9.2794
angles (deg): 90.00 90.00 90.00
Last column: nearest neighbours and their distance in Å.
Space group Pmmm (No. 47)
Asymmetric unit:
Er 0.0000 0.0000 0.2473 (multiplicity 2)  6 In 3.21-3.22, 6 Cd 3.24-3.27
Cd 0.0000 0.5000 0.0000 (multiplicity 1)  8 In 3.21-3.27, 4 Er 3.24
Cd 0.0000 0.5000 0.5000 (multiplicity 1)  4 In 3.20, 4 Cd 3.21, 4 Er 3.27
Cd 0.5000 0.0000 0.5000 (multiplicity 1)  4 Cd 3.21, 4 In 3.22, 4 Er 3.25
In 0.5000 0.0000 0.0000 (multiplicity 1)  4 Cd 3.21, 4 Er 3.22, 4 In 3.29
In 0.5000 0.5000 0.2551 (multiplicity 2)  6 Cd 3.20-3.27, 4 Er 3.21, 2 In 3.29

Output
- crystal system = orthorhombic
- formation energy from the elements (eV/atom) = -0.34



# 6
This record from Alexandria via LeMat-Bulk describes an optimized crystal structure of Er2Cd3In2. The functional is PBE.

a b c (Å): 11.1334 4.6424 7.2310
angles (deg): 90.00 112.25 90.00
Last column: nearest neighbours and their distance in Å.
Space group C2/m (No. 12)
Asymmetric unit:
Er 0.1476 0.0000 0.2670 (multiplicity 4)  4 In 3.19-3.38, 4 Cd 3.26-3.46
Cd 0.0000 0.5000 0.5000 (multiplicity 2)  2 Cd 2.88, 4 In 2.97
Cd 0.0991 0.5000 0.9299 (multiplicity 4)  2 Cd 2.75-2.88, 3 In 2.94-2.95
In 0.1533 0.0000 0.7229 (multiplicity 4)  5 Cd 2.94-2.97, 3 Er 3.19-3.27

Output
- crystal system = monoclinic
- formation energy from the elements (eV/atom) = -0.25
- offset from the most stable computed form (eV per formula unit) = 0.00